VASP calculation (GGA-PBE) on crystalline Ta2TlCo at its relaxed geometry.

The energy above the most stable polymorph in this dataset is 111 meV/atom. The value obtained for the total magnetization is 0.251 μB/atom. The calculation puts the calculated formation energy at 0.3367 eV per atom. The value obtained for the total energy is -7.958 eV per atom.

The structure belongs to space group P2/m (No. 10); the cell edges are 2.960, 3.858 and 6.174 Å and the angles 90.00°, 95.73° and 90.00°. Symmetry generates all atoms from Ta at (0.059, 0.000, 0.291), Tl at (0.500, 0.500, 0.000) and Co at (0.500, 0.500, 0.500).